Material: K5Cd3Hg12
Method: DFT, PBE
State: relaxed

Results
- energy of formation from the pure elements (eV per atom) = -0.054
- density (Mg/m³) = 5.68
- total magnetization (μB/cell) = 0.00

a b c (Å): 16.4713 16.4713 16.4713
angles (deg): 109.47 109.47 109.47
Atoms (fractional coordinates):
K 0.0000 0.0000 0.0000
K 0.0000 0.0000 0.5000
K 0.0000 0.5000 0.0000
K 0.0000 0.5000 0.5000
K 0.1250 0.7500 0.8750
K 0.1250 0.8750 0.2500
K 0.2500 0.1250 0.8750
K 0.2500 0.6250 0.3750
K 0.3750 0.2500 0.6250
K 0.3750 0.6250 0.7500
K 0.5000 0.0000 0.0000
K 0.5000 0.0000 0.5000
K 0.5000 0.5000 0.0000
K 0.5000 0.5000 0.5000
K 0.6250 0.3750 0.2500
K 0.6250 0.7500 0.3750
K 0.7500 0.3750 0.6250
K 0.7500 0.8750 0.1250
K 0.8750 0.1250 0.7500
K 0.8750 0.2500 0.1250
Cd 0.1250 0.2500 0.3750
Cd 0.1250 0.3750 0.7500
Cd 0.2500 0.3750 0.1250
Cd 0.2500 0.8750 0.6250
Cd 0.3750 0.1250 0.2500
Cd 0.3750 0.7500 0.1250
Cd 0.6250 0.2500 0.8750
Cd 0.6250 0.8750 0.7500
Cd 0.7500 0.1250 0.3750
Cd 0.7500 0.6250 0.8750
Cd 0.8750 0.6250 0.2500
Cd 0.8750 0.7500 0.6250
Hg 0.0626 0.6537 0.4171
Hg 0.0626 0.9090 0.6456
Hg 0.0829 0.7366 0.6456
Hg 0.0829 0.8463 0.4374
Hg 0.0910 0.2366 0.1537
Hg 0.0910 0.3544 0.9374
Hg 0.1456 0.2366 0.5829
Hg 0.1456 0.4090 0.5626
Hg 0.1537 0.0910 0.2366
Hg 0.1537 0.5626 0.9171
Hg 0.2366 0.1537 0.0910
Hg 0.2366 0.5829 0.1456
Hg 0.2634 0.3544 0.9171
Hg 0.2634 0.4090 0.3463
Hg 0.3463 0.2634 0.4090
Hg 0.3463 0.5829 0.9374
Hg 0.3544 0.9171 0.2634
Hg 0.3544 0.9374 0.0910
Hg 0.4090 0.3463 0.2634
Hg 0.4090 0.5626 0.1456
Hg 0.4171 0.0626 0.6537
Hg 0.4171 0.8544 0.7634
Hg 0.4374 0.0829 0.8463
Hg 0.4374 0.8544 0.5910
Hg 0.5626 0.1456 0.4090
Hg 0.5626 0.9171 0.1537
Hg 0.5829 0.1456 0.2366
Hg 0.5829 0.9374 0.3463
Hg 0.5910 0.4374 0.8544
Hg 0.5910 0.6537 0.7366
Hg 0.6456 0.0626 0.9090
Hg 0.6456 0.0829 0.7366
Hg 0.6537 0.4171 0.0626
Hg 0.6537 0.7366 0.5910
Hg 0.7366 0.5910 0.6537
Hg 0.7366 0.6456 0.0829
Hg 0.7634 0.4171 0.8544
Hg 0.7634 0.8463 0.9090
Hg 0.8463 0.4374 0.0829
Hg 0.8463 0.9090 0.7634
Hg 0.8544 0.5910 0.4374
Hg 0.8544 0.7634 0.4171
Hg 0.9090 0.6456 0.0626
Hg 0.9090 0.7634 0.8463
Hg 0.9171 0.1537 0.5626
Hg 0.9171 0.2634 0.3544
Hg 0.9374 0.0910 0.3544
Hg 0.9374 0.3463 0.5829